No. 1
Compound: LiCd3
Source: Alexandria
Functional: PBE-GGA
Structure: relaxed

The structure belongs to space group P2/m (No. 10); the cell edges are 3.0068, 4.7400 and 5.9593 Å and the angles 90.00°, 103.24° and 90.00°. The distinct sites, in fractional coordinates, are Li at (0.0000, 0.0000, 0.0000), Cd at (0.2549, 0.5000, 0.7594) and Cd at (0.5000, 0.0000, 0.5000).

=====

No. 2
Compound: LiCd2
Source: Alexandria
Functional: PBE-GGA
Structure: relaxed

The structure belongs to space group P6_3/mmc (No. 194); the cell edges are 5.7582, 5.7582 and 9.4591 Å and the angles 90.00°, 90.00° and 120.00°. The distinct sites, in fractional coordinates, are Li at (0.3333, 0.6667, 0.0632), Cd at (0.0000, 0.0000, 0.0000) and Cd at (0.1709, 0.3418, 0.7500).

=====

No. 3
Compound: LiCd4
Source: Alexandria
Functional: PBE-GGA
Structure: relaxed

The value obtained for the energy above the most stable polymorph in this dataset is 162.5 meV per atom.

The structure belongs to space group Im-3m (No. 229); the cell edges are 6.2235, 6.2235 and 6.2235 Å and the angles 90.00°, 90.00° and 90.00°. The distinct sites, in fractional coordinates, are Li at (0.0000, 0.0000, 0.0000) and Cd at (0.2500, 0.2500, 0.2500).

=====

No. 4
Compound: LiCd2
Source: Alexandria
Functional: PBE-GGA
Structure: relaxed

The structure belongs to space group Fd-3m (No. 227, origin choice 2); the cell edges are 12.3551, 12.3551 and 12.3551 Å and the angles 90.00°, 90.00° and 90.00°. The distinct sites, in fractional coordinates, are Li at (0.0359, 0.0359, 0.2141), Cd at (0.0000, 0.0000, 0.0000) and Cd at (0.0603, 0.3750, 0.8750).

=====

Calculated formation energy readings, ordered: -126, -129, 50, -144 meV/atom